{"formula": "BaZnFe", "functional": "PBEsol", "state": "relaxed", "lattice_angstrom": [[4.892, 0.000, 0.000], [2.446, 4.237, 0.000], [2.446, 1.412, 3.994]], "species": ["Zn", "Ba", "Fe"], "fractional_positions": [[0.250, 0.250, 0.250], [0.000, 0.000, 0.000], [0.500, 0.500, 0.500]], "n_ef_per_ev_cell": 6.4, "formation_enthalpy_0k_ev_per_atom": 0.8530, "space_group": "F-43m (216)", "rho_g_cm3": 5.186, "final_energy_ev_per_atom": -3.3785}

{"formula": "Ba2ZnFe", "functional": "PBEsol", "state": "relaxed", "lattice_angstrom": [[4.794, 0.000, 0.000], [0.000, 4.794, 0.000], [-2.397, -2.397, 4.792]], "species": ["Zn", "Ba", "Ba", "Fe"], "fractional_positions": [[0.250, 0.750, 0.500], [0.750, 0.250, 0.500], [0.000, 0.000, 0.000], [0.500, 0.500, 0.000]], "n_ef_per_ev_cell": 6.9, "formation_enthalpy_0k_ev_per_atom": 0.5919, "space_group": "I-4m2 (119)", "rho_g_cm3": 5.969, "final_energy_ev_per_atom": -3.1190}